Record 1
Density functional theory data (PBE) for an optimized crystal structure of H4WNCl6.

```
H4WNCl6
1.0
5.8593 -3.7033 0.0000
5.8593 3.7033 0.0000
-1.0780 0.0000 11.8479
H W N Cl
8 2 2 12
direct
0.0201 0.9142 0.6843
0.0456 0.8257 0.2770
0.0858 0.9799 0.8157
0.1743 0.9544 0.2230
0.8257 0.0456 0.7770
0.9142 0.0201 0.1843
0.9544 0.1743 0.7230
0.9799 0.0858 0.3157
0.0000 0.5000 0.5000
0.5000 0.0000 0.0000
0.0283 0.9717 0.2500
0.9717 0.0283 0.7500
0.1309 0.2054 0.0146
0.1518 0.4827 0.3260
0.2054 0.1309 0.5146
0.2733 0.5670 0.5958
0.4330 0.7267 0.9042
0.4827 0.1518 0.8260
0.5173 0.8482 0.1740
0.5670 0.2733 0.0958
0.7267 0.4330 0.4042
0.7946 0.8691 0.4854
0.8482 0.5173 0.6740
0.8691 0.7946 0.9854
```

Results
**Total DFT energy (no corrections)**: -4.567 eV/atom
**Total moment**: 2.00 μB per cell
**V**: 514 Å³ per cell

***

Record 2
Density functional theory data (PBE) for an optimized crystal structure of ZnH12N3Cl5.

```
ZnH12N3Cl5
1.0
8.9036 0.0000 0.0000
0.0000 9.7468 0.0000
0.0000 0.0000 13.3119
Zn H N Cl
4 48 12 20
direct
0.1774 0.2500 0.1121
0.3226 0.7500 0.6121
0.6774 0.2500 0.3879
0.8226 0.7500 0.8879
0.0188 0.0827 0.8053
0.0188 0.4173 0.8053
0.0240 0.1646 0.4847
0.0240 0.3354 0.4847
0.0248 0.2500 0.5945
0.1045 0.5494 0.8683
0.1045 0.9506 0.8683
0.1266 0.5302 0.7426
0.1266 0.9698 0.7426
0.1823 0.2500 0.5193
0.2066 0.0846 0.8196
0.2066 0.4154 0.8196
0.2934 0.5846 0.3196
0.2934 0.9154 0.3196
0.3177 0.7500 0.0193
0.3734 0.0302 0.2426
0.3734 0.4698 0.2426
0.3955 0.0494 0.3683
0.3955 0.4506 0.3683
0.4752 0.7500 0.0945
0.4760 0.6646 0.9847
0.4760 0.8354 0.9847
0.4812 0.5827 0.3053
0.4812 0.9173 0.3053
0.5188 0.0827 0.6947
0.5188 0.4173 0.6947
0.5240 0.1646 0.0153
0.5240 0.3354 0.0153
0.5248 0.2500 0.9055
0.6045 0.5494 0.6317
0.6045 0.9506 0.6317
0.6266 0.5302 0.7574
0.6266 0.9698 0.7574
0.6823 0.2500 0.9807
0.7066 0.0846 0.6804
0.7066 0.4154 0.6804
0.7934 0.5846 0.1804
0.7934 0.9154 0.1804
0.8177 0.7500 0.4807
0.8734 0.0302 0.2574
0.8734 0.4698 0.2574
0.8955 0.0494 0.1317
0.8955 0.4506 0.1317
0.9752 0.7500 0.4055
0.9760 0.6646 0.5153
0.9760 0.8354 0.5153
0.9812 0.5827 0.1947
0.9812 0.9173 0.1947
0.0667 0.2500 0.5210
0.1136 0.0211 0.8104
0.1136 0.4789 0.8104
0.3864 0.5211 0.3104
0.3864 0.9789 0.3104
0.4333 0.7500 0.0210
0.5667 0.2500 0.9790
0.6136 0.0211 0.6896
0.6136 0.4789 0.6896
0.8864 0.5211 0.1896
0.8864 0.9789 0.1896
0.9333 0.7500 0.4790
0.0476 0.7500 0.9728
0.1233 0.7500 0.2767
0.1277 0.2500 0.2790
0.1920 0.5549 0.5726
0.1920 0.9451 0.5726
0.3080 0.0549 0.0726
0.3080 0.4451 0.0726
0.3723 0.7500 0.7790
0.3767 0.2500 0.7767
0.4524 0.2500 0.4728
0.5476 0.7500 0.5272
0.6233 0.7500 0.2233
0.6277 0.2500 0.2210
0.6920 0.5549 0.9274
0.6920 0.9451 0.9274
0.8080 0.0549 0.4274
0.8080 0.4451 0.4274
0.8723 0.7500 0.7210
0.8767 0.2500 0.7233
0.9524 0.2500 0.0272
```

Results
**Total DFT energy (no corrections)**: -4.324 eV/atom
**Total moment**: 0.31 μB per cell
**V**: 1155 Å³ per cell

***

Record 3
Density functional theory data (PBE) for an optimized crystal structure of ZnH4NCl3.

```
ZnH4NCl3
1.0
6.5322 0.0000 0.0000
-0.6589 8.3342 0.0000
-1.0306 -2.3730 12.4332
Zn H N Cl
4 16 4 12
direct
0.0000 0.0000 0.0000
0.9998 0.4962 0.4895
0.4857 0.7987 0.0583
0.4980 0.3055 0.5752
0.2180 0.9089 0.7621
0.2635 0.3743 0.2708
0.3123 0.8318 0.6462
0.3625 0.2871 0.1591
0.4276 0.8098 0.7681
0.4459 0.9964 0.7297
0.4785 0.2794 0.2838
0.4912 0.4565 0.2341
0.7491 0.9921 0.3964
0.7710 0.4034 0.8576
0.7830 0.5121 0.9850
0.8313 0.8718 0.2897
0.9178 0.5844 0.8936
0.9560 0.0595 0.3426
0.9751 0.8995 0.4092
0.9881 0.4154 0.9423
0.3530 0.8877 0.7263
0.4013 0.3500 0.2375
0.8658 0.4790 0.9200
0.8794 0.9554 0.3599
0.1701 0.3750 0.6177
0.1699 0.7414 0.4834
0.1818 0.8773 0.1274
0.1885 0.2347 0.9920
0.4163 0.6439 0.8941
0.4652 0.1177 0.4204
0.6422 0.2135 0.7186
0.6671 0.6556 0.1652
0.6783 0.5459 0.5505
0.6865 0.0476 0.0704
0.9306 0.8301 0.8394
0.9558 0.3358 0.3236
```

Results
**Total DFT energy (no corrections)**: -3.999 eV/atom
**Total moment**: 0.16 μB per cell
**V**: 677 Å³ per cell

***

Record 4
Density functional theory data (PBE) for an optimized crystal structure of ZnH8N4Cl2.

```
ZnH8N4Cl2
1.0
4.5183 -4.1092 0.0000
4.5183 4.1092 0.0000
-0.9249 0.0000 4.0689
Zn H N Cl
1 8 4 2
direct
0.0000 0.0000 0.0000
0.0014 0.3110 0.5282
0.2416 0.6428 0.7079
0.3110 0.0014 0.5282
0.3572 0.7584 0.2921
0.6428 0.2416 0.7079
0.6889 0.9986 0.4718
0.7584 0.3572 0.2921
0.9986 0.6889 0.4718
0.1343 0.7640 0.6113
0.2360 0.8657 0.3887
0.7640 0.1343 0.6113
0.8657 0.2360 0.3887
0.2826 0.2826 0.9839
0.7174 0.7174 0.0161
```

Results
**Total DFT energy (no corrections)**: -4.734 eV/atom
**Total moment**: 0.00 μB per cell
**V**: 151 Å³ per cell

***

Record 5
Density functional theory data (PBE) for an optimized crystal structure of Na4H3Cl4.

```
Na4H3Cl4
1.0
11.1904 0.0000 0.0000
0.0000 2.4619 4.2369
0.0000 -2.4619 4.2369
Na H Cl
4 3 4
direct
0.0000 0.0000 0.0000
0.2499 0.6662 0.6662
0.5000 0.0005 0.0005
0.7501 0.6662 0.6662
0.0000 0.3314 0.3314
0.0833 0.3311 0.3311
0.9167 0.3311 0.3311
0.0000 0.6658 0.6658
0.2506 0.0006 0.0006
0.5000 0.6661 0.6661
0.7494 0.0006 0.0006
```

Results
**Total DFT energy (no corrections)**: -3.122 eV/atom
**Total moment**: 1.00 μB per cell
**V**: 233 Å³ per cell

***

Record 6
Density functional theory data (PBE) for an optimized crystal structure of Na2HCl.

```
Na2HCl
1.0
-3.2004 3.2004 4.0537
3.2004 -3.2004 4.0537
3.2004 3.2004 -4.0537
Na H Cl
4 2 2
direct
0.0653 0.1250 0.4403
0.3750 0.9347 0.0597
0.6847 0.6250 0.5597
0.8750 0.3153 0.9403
0.0000 0.0000 0.0000
0.7500 0.2500 0.5000
0.2500 0.7500 0.5000
0.5000 0.5000 0.0000
```

Results
**E above lowest polymorph**: 2.1 kJ per mole of atoms
**Total moment**: 0.00 μB per cell
**V**: 166 Å³ per cell

***

Record 7
Density functional theory data (PBE) for an optimized crystal structure of Na2HCl4.

```
Na2HCl4
1.0
-1.9722 1.9722 10.6493
1.9722 -1.9722 10.6493
1.9722 1.9722 -10.6493
Na H Cl
2 1 4
direct
0.1874 0.1874 0.0000
0.8126 0.8126 0.0000
0.5000 0.5000 0.0000
0.0000 0.5000 0.5000
0.3198 0.3198 0.0000
0.5000 0.0000 0.5000
0.6802 0.6802 0.0000
```

Results
**E above lowest polymorph**: 28.9 kJ per mole of atoms
**Total moment**: 0.00 μB per cell
**V**: 166 Å³ per cell

***

Record 8
Density functional theory data (PBE) for an optimized crystal structure of Na5H4Cl.

```
Na5H4Cl
1.0
5.8580 -1.7715 0.0000
5.8580 1.7715 0.0000
-4.2463 0.0000 7.7545
Na H Cl
5 4 1
direct
0.0000 0.0000 0.0000
0.2097 0.2097 0.8188
0.3937 0.3937 0.6288
0.6063 0.6063 0.3712
0.7903 0.7903 0.1812
0.1910 0.1910 0.2823
0.3975 0.3975 0.0900
0.6025 0.6025 0.9100
0.8090 0.8090 0.7177
0.0000 0.0000 0.5000
```

Results
**Total DFT energy (no corrections)**: -2.681 eV/atom
**Total moment**: 0.00 μB per cell
**V**: 161 Å³ per cell

***

Record 9
Density functional theory data (PBE) for an optimized crystal structure of Na3HCl2.

```
Na3HCl2
1.0
3.3509 -5.8032 0.0000
3.3509 5.8032 0.0000
-2.2382 0.0000 6.3157
Na H Cl
6 2 4
direct
0.0717 0.4228 0.7686
0.2269 0.2269 0.2324
0.4228 0.0717 0.7686
0.5772 0.9283 0.2314
0.7731 0.7731 0.7676
0.9283 0.5772 0.2314
0.1668 0.8332 0.0000
0.8332 0.1668 0.0000
0.0000 0.0000 0.5000
0.3352 0.6648 0.5000
0.5000 0.5000 0.0000
0.6648 0.3352 0.5000
```

Results
**Total DFT energy (no corrections)**: -3.069 eV/atom
**Total moment**: 0.00 μB per cell
**V**: 246 Å³ per cell

***

Record 10
Density functional theory data (PBE) for an optimized crystal structure of NaHCl2.

```
NaHCl2
1.0
5.7867 0.0000 0.0000
0.0000 4.1051 0.0000
-1.3726 0.0000 7.3912
Na H Cl
2 2 4
direct
0.0000 0.2158 0.0000
0.0000 0.7842 0.5000
0.4990 0.5000 0.2505
0.4990 0.5000 0.7505
0.2614 0.3071 0.7108
0.2614 0.6929 0.2108
0.7349 0.3084 0.2896
0.7349 0.6916 0.7896
```

Results
**E above lowest polymorph**: 3.3 kJ per mole of atoms
**Total moment**: 0.00 μB per cell
**V**: 176 Å³ per cell

***

Record 11
Density functional theory data (PBE) for an optimized crystal structure of Na4HCl3.

```
Na4HCl3
1.0
6.7793 0.0000 0.0000
0.0000 7.8577 0.0000
-2.2469 0.0000 6.3767
Na H Cl
8 2 6
direct
0.2270 0.1128 0.0053
0.2270 0.8872 0.5053
0.2468 0.3651 0.4912
0.2468 0.6349 0.9912
0.7532 0.3651 0.0088
0.7532 0.6349 0.5088
0.7730 0.1128 0.4947
0.7730 0.8872 0.9947
0.0000 0.1142 0.2500
0.0000 0.8858 0.7500
0.0000 0.3732 0.7500
0.0000 0.6268 0.2500
0.5000 0.1228 0.7500
0.5000 0.3700 0.2500
0.5000 0.6300 0.7500
0.5000 0.8772 0.2500
```

Results
**Total DFT energy (no corrections)**: -3.147 eV/atom
**Total moment**: 0.00 μB per cell
**V**: 340 Å³ per cell

***

Record 12
Density functional theory data (PBE) for an optimized crystal structure of Na4H3Cl.

```
Na4H3Cl
1.0
1.7992 1.0388 11.7179
-1.7992 1.0388 11.7179
0.0000 -2.0776 11.7179
Na H Cl
4 3 1
direct
0.1163 0.1163 0.1163
0.3719 0.3719 0.3719
0.6281 0.6281 0.6281
0.8837 0.8837 0.8837
0.0000 0.0000 0.0000
0.2561 0.2561 0.2561
0.7439 0.7439 0.7439
0.5000 0.5000 0.5000
```

Results
**Total DFT energy (no corrections)**: -2.719 eV/atom
**Total moment**: 0.00 μB per cell
**V**: 131 Å³ per cell

***

Q: total moment of number 10 (NaHCl2)?
A: 0.00 μB per cell